[1]
Computed, not measured: an optimized crystal structure of NaScAl2I at the PBE level of DFT.

The calculated density is 2.80 g/cm³. For the uncorrected formation energy, the calculation gives 0.790 eV/atom. The value obtained for the total DFT energy (no corrections) is -2.547 eV per atom.

```
5
Lattice="5.207 0.000 0.000 0.000 5.207 0.000 0.000 0.000 5.447" Properties=species:S:1:pos:R:3 pbc="T T T"
Na 0.000 0.000 0.000
Sc 2.603 2.603 2.723
Al 0.000 2.603 0.000
Al 2.603 0.000 0.000
I 0.000 0.000 2.723
```

[2]
Computed, not measured: an optimized crystal structure of NaAlTeI2 at the PBE level of DFT.

The calculated density is 3.00 g/cm³. For the uncorrected formation energy, the calculation gives 0.013 eV/atom. The value obtained for the total DFT energy (no corrections) is -2.247 eV per atom. The calculation puts the excess energy over the best structure of this formula in the dataset at 0.431 eV per atom.

```
5
Lattice="6.574 0.000 0.000 0.000 6.574 0.000 0.000 0.000 5.528" Properties=species:S:1:pos:R:3 pbc="T T T"
Na 0.000 0.000 0.000
Al 3.287 3.287 0.000
Te 3.287 3.287 2.764
I 0.000 3.287 2.764
I 3.287 0.000 2.764
```

[3]
Computed, not measured: an optimized crystal structure of NaAlTeI2 at the PBE level of DFT.

The calculated density is 3.43 g/cm³. For the uncorrected formation energy, the calculation gives 0.162 eV/atom. The value obtained for the total DFT energy (no corrections) is -2.099 eV per atom. The calculation puts the excess energy over the best structure of this formula in the dataset at 0.579 eV per atom.

```
5
Lattice="6.010 0.000 0.000 0.000 6.010 0.000 0.000 0.000 5.778" Properties=species:S:1:pos:R:3 pbc="T T T"
Na 0.000 0.000 0.000
Al 3.005 3.005 2.889
Te 0.000 0.000 2.889
I 0.000 3.005 0.000
I 3.005 0.000 0.000
```

[4]
Computed, not measured: an optimized crystal structure of NaAlTeI2 at the PBE level of DFT.

The calculated density is 3.98 g/cm³. For the uncorrected formation energy, the calculation gives -0.418 eV/atom. The value obtained for the total DFT energy (no corrections) is -2.678 eV per atom. The calculation puts the excess energy over the best structure of this formula in the dataset at 0.000 eV per atom.

```
5
Lattice="5.777 0.000 0.000 0.000 5.777 0.000 0.000 0.000 5.387" Properties=species:S:1:pos:R:3 pbc="T T T"
Na 0.000 0.000 0.000
Al 2.889 2.889 2.694
Te 2.889 2.889 0.000
I 0.000 2.889 2.694
I 2.889 0.000 2.694
```

[5]
Computed, not measured: an optimized crystal structure of NaAl2TlI8 at the PBE level of DFT.

The calculated density is 4.05 g/cm³. For the uncorrected formation energy, the calculation gives -0.758 eV/atom. The value obtained for the total DFT energy (no corrections) is -2.723 eV per atom.

```
12
Lattice="7.473 0.000 0.000 -3.736 6.472 0.000 0.000 0.000 10.984" Properties=species:S:1:pos:R:3 pbc="T T T"
Na 0.000 0.000 0.000
Al 0.000 4.314 2.866
Al 3.736 2.157 8.118
Tl 0.000 0.000 5.492
I -1.198 2.174 2.102
I -1.255 6.422 2.102
I 0.000 4.314 5.427
I 1.284 2.124 8.882
I 2.452 4.347 2.102
I 3.736 2.157 5.557
I 4.991 0.050 8.882
I 4.934 4.297 8.882
```

[6]
Computed, not measured: an optimized crystal structure of NaAlV2I at the PBE level of DFT.

The calculated density is 2.90 g/cm³. For the uncorrected formation energy, the calculation gives 0.997 eV/atom. The value obtained for the total DFT energy (no corrections) is -3.973 eV per atom.

```
5
Lattice="5.021 0.000 0.000 0.000 5.021 0.000 0.000 0.000 6.322" Properties=species:S:1:pos:R:3 pbc="T T T"
Na 0.000 0.000 0.000
Al 2.511 2.511 3.161
V 0.000 2.511 3.161
V 2.511 0.000 3.161
I 2.511 2.511 0.000
```